Computed, not measured: a geometry-optimized ScReP2 structure at the PBE-GGA level of DFT.

```
ScReP2
1.0
7.8771 -0.0096 -0.0057
7.2728 3.0258 -0.0057
7.2728 1.4480 2.6568
P Re Sc
2 1 1
Direct
0.9923 0.9923 0.9923 P
0.2486 0.2486 0.2486 P
0.5109 0.5109 0.5109 Re
0.7481 0.7481 0.7481 Sc
```

Energy of formation from the pure elements, eV/f.u.: -0.4